Here is ZrSbI3 at its PBEsol-relaxed geometry from the Alexandria database. Energies are from SCAN.

Calculated density ... 5408 kg/m3
Energy relative to the elements, uncorrected ... -36.4 kJ/mol of formula units

a b c (Å): 5.670 5.670 5.670
angles (deg): 90.00 90.00 90.00
Space group Pm-3m (No. 221)
Symmetry-distinct sites (fractional):
Zr1 0.000 0.000 0.000
Sb1 0.500 0.500 0.500
I1 0.000 0.000 0.500

Here is ScSe3I at its PBEsol-relaxed geometry from the Alexandria database. Energies are from SCAN.

Calculated density ... 4648 kg/m3
Energy relative to the elements, uncorrected ... 190.0 kJ/mol of formula units

a b c (Å): 5.266 5.266 5.266
angles (deg): 90.00 90.00 90.00
Space group Pm-3m (No. 221)
Symmetry-distinct sites (fractional):
Sc1 0.000 0.000 0.000
Se1 0.000 0.500 0.500
I1 0.500 0.500 0.500

Here is ScSnTeI2 at its PBEsol-relaxed geometry from the Alexandria database. Energies are from SCAN.

Calculated density ... 4691 kg/m3
Energy relative to the elements, uncorrected ... 61.1 kJ/mol of formula units

a b c (Å): 5.748 5.748 5.840
angles (deg): 90.00 90.00 90.00
Space group P4/mmm (No. 123)
Symmetry-distinct sites (fractional):
Sc1 0.000 0.000 0.000
Sn1 0.500 0.500 0.500
Te1 0.500 0.500 0.000
I1 0.000 0.500 0.500